Computed, not measured: an optimized crystal structure of Mn4SiO6 at the GGA+U level of DFT.

Cell: 5.980 5.980 10.555 Å, 109.19 109.19 58.35°
Fractional coordinates of all 22 atoms:
1 Mn 0.080 0.302 0.821
2 Mn 0.106 0.894 0.500
3 Mn 0.172 0.576 0.158
4 Mn 0.302 0.080 0.321
5 Mn 0.545 0.774 0.016
6 Mn 0.576 0.172 0.658
7 Mn 0.774 0.545 0.516
8 Mn 0.894 0.106 0.000
9 Si 0.161 0.712 0.756
10 Si 0.712 0.161 0.256
11 O 0.125 0.618 0.588
12 O 0.258 0.851 0.121
13 O 0.322 0.890 0.826
14 O 0.342 0.428 0.815
15 O 0.428 0.342 0.315
16 O 0.443 0.921 0.499
17 O 0.618 0.125 0.088
18 O 0.851 0.258 0.621
19 O 0.861 0.890 0.795
20 O 0.890 0.322 0.326
21 O 0.890 0.861 0.295
22 O 0.921 0.443 0.999

Summary:
**Mass density**: 3836 kg/m3
**Space-group type**: Cc (9)
**Energy**: -7.83 eV per atom